! GdCoSeO PBE with a Hubbard U relaxed; values from VASP
! - calculated total energy (eV/atom) = -5.50
! - offset from the most stable computed form (eV per formula unit) = 0.59
&SYSTEM
  ibrav = 0, nat = 8, ntyp = 4
/
ATOMIC_SPECIES
Co 58.93 Co.upf
Gd 157.25 Gd.upf
O 16.00 O.upf
Se 78.96 Se.upf
ATOMIC_POSITIONS angstrom
Co 0.000 0.000 9.802
Co 0.000 0.000 16.653
Gd 0.000 0.000 5.893
Gd 0.000 0.000 20.562
O 0.000 0.000 7.944
O 0.000 0.000 18.511
Se 0.000 0.000 2.762
Se 0.000 0.000 23.693
CELL_PARAMETERS angstrom
2.436 1.406 8.818
-2.436 1.406 8.818
0.000 -2.813 8.818